! SiP4H8, PBEsol geometry, DFT meta-GGA SCAN; values from VASP
&SYSTEM
  ibrav = 0, nat = 52, ntyp = 3
/
ATOMIC_SPECIES
Si 28.09 Si.upf
P 30.97 P.upf
H 1.01 H.upf
ATOMIC_POSITIONS crystal
Si 0.2332 0.0679 0.3506
Si 0.2332 0.4321 0.8506
Si 0.7668 0.5679 0.1494
Si 0.7668 0.9321 0.6494
P 0.0496 0.0569 0.1867
P 0.0496 0.4431 0.6867
P 0.1868 0.5803 0.0250
P 0.1868 0.9197 0.5250
P 0.2912 0.1304 0.9193
P 0.2912 0.3696 0.4193
P 0.4171 0.5732 0.7968
P 0.4171 0.9268 0.2968
P 0.5829 0.0732 0.7032
P 0.5829 0.4268 0.2032
P 0.7088 0.6304 0.5807
P 0.7088 0.8696 0.0807
P 0.8132 0.0803 0.4750
P 0.8132 0.4197 0.9750
P 0.9504 0.5569 0.3133
P 0.9504 0.9431 0.8133
H 0.0347 0.6582 0.2409
H 0.0347 0.8418 0.7409
H 0.0885 0.2283 0.1286
H 0.0885 0.2717 0.6286
H 0.2091 0.7293 0.4818
H 0.2091 0.7707 0.9818
H 0.3060 0.0677 0.7947
H 0.3060 0.4323 0.2947
H 0.3284 0.5571 0.0867
H 0.3284 0.9429 0.5867
H 0.3453 0.7481 0.7579
H 0.3453 0.7519 0.2579
H 0.3904 0.0014 0.1685
H 0.3904 0.4986 0.6685
H 0.4338 0.1783 0.9573
H 0.4338 0.3217 0.4573
H 0.5662 0.6783 0.5427
H 0.5662 0.8217 0.0427
H 0.6096 0.5014 0.3315
H 0.6096 0.9986 0.8315
H 0.6547 0.2481 0.7421
H 0.6547 0.2519 0.2421
H 0.6716 0.0571 0.4133
H 0.6716 0.4429 0.9133
H 0.6940 0.5677 0.7053
H 0.6940 0.9323 0.2053
H 0.7909 0.2293 0.0182
H 0.7909 0.2707 0.5182
H 0.9115 0.7283 0.3714
H 0.9115 0.7717 0.8714
H 0.9653 0.1582 0.2591
H 0.9653 0.3418 0.7591
CELL_PARAMETERS angstrom
9.9873 0.0000 0.0000
0.0000 6.9927 0.0000
-2.1732 0.0000 10.4419
! * crystal system: monoclinic
! * calculated total energy: -6.143 eV/atom
! * total magnetization: 0.00 μB/cell

! YNbB2As, PBEsol geometry, DFT meta-GGA SCAN; values from VASP
&SYSTEM
  ibrav = 0, nat = 5, ntyp = 4
/
ATOMIC_SPECIES
Y 88.91 Y.upf
Nb 92.91 Nb.upf
B 10.81 B.upf
As 74.92 As.upf
ATOMIC_POSITIONS crystal
Y 0.0000 0.0000 0.0000
Nb 0.0000 0.0000 0.5000
B 0.0000 0.5000 0.5000
B 0.5000 0.0000 0.5000
As 0.5000 0.5000 0.0000
CELL_PARAMETERS angstrom
4.2390 0.0000 0.0000
0.0000 4.2390 0.0000
0.0000 0.0000 5.5124
! * crystal system: tetragonal
! * calculated total energy: -18.075 eV/atom
! * total magnetization: 0.00 μB/cell
! * ΔE_f: 5.650 eV/f.u.

! ZrHg2Te2, PBEsol geometry, DFT meta-GGA SCAN; values from VASP
&SYSTEM
  ibrav = 0, nat = 5, ntyp = 3
/
ATOMIC_SPECIES
Zr 91.22 Zr.upf
Hg 200.59 Hg.upf
Te 127.60 Te.upf
ATOMIC_POSITIONS crystal
Zr 0.0000 0.0000 0.0000
Hg 0.2500 0.7500 0.5000
Hg 0.7500 0.2500 0.5000
Te 0.4147 0.4147 0.0000
Te 0.5853 0.5853 0.0000
CELL_PARAMETERS angstrom
-1.8922 1.8922 9.4301
1.8922 -1.8922 9.4301
1.8922 1.8922 -9.4301
! * formation energy from raw total energies: -1.37 eV per formula unit
! * crystal system: tetragonal
! * calculated total energy: -48.580 eV/atom
! * total magnetization: 0.00 μB/cell